No. 1
A plane-wave DFT calculation with PBE was carried out for a geometry-optimized La2CeTl structure.

N(E_F), states/eV per cell: 8.001
Calculated formation energy, meV/atom: -51
ΔE to the lowest computed polymorph, eV/atom: 0.131
Total magnetic moment, μB per formula unit: 0.95

Lattice parameters (Å, degrees): 3.666 3.666 11.446 80.78 80.78 60.00
Element x y z (fractional)
La: 0.082 0.082 0.755
La: 0.252 0.252 0.245
Ce: 0.499 0.499 0.502
Tl: 0.667 0.667 0.999

***

No. 2
A plane-wave DFT calculation with PBE was carried out for a geometry-optimized TbPr3Tl4 structure.

N(E_F), states/eV per cell: 6.402
Calculated formation energy, meV/atom: -389
ΔE to the lowest computed polymorph, eV/atom: 0.000
Total magnetic moment, μB per formula unit: 0.00

Lattice parameters (Å, degrees): 3.888 3.888 15.725 90.00 90.00 90.00
Element x y z (fractional)
Pr: 0.500 0.500 0.244
Pr: 0.500 0.500 0.500
Pr: 0.500 0.500 0.756
Tl: 0.000 0.000 0.885
Tl: 0.000 0.000 0.115
Tl: 0.000 0.000 0.372
Tl: 0.000 0.000 0.628
Tb: 0.500 0.500 0.000

***

No. 3
A plane-wave DFT calculation with PBE was carried out for a geometry-optimized Mg4Sn2Rh structure.

N(E_F), states/eV per cell: 4.520
Calculated formation energy, meV/atom: 8
ΔE to the lowest computed polymorph, eV/atom: 0.270
Total magnetic moment, μB per formula unit: 0.00

Lattice parameters (Å, degrees): 4.879 4.879 8.180 72.65 72.65 90.00
Element x y z (fractional)
Mg: 0.173 0.173 0.654
Mg: 0.827 0.827 0.346
Mg: 0.000 0.500 0.000
Mg: 0.500 0.000 0.000
Rh: 0.000 0.000 0.000
Sn: 0.369 0.369 0.262
Sn: 0.631 0.631 0.738

***

Please write out number 1 again, unchanged.
A plane-wave DFT calculation with PBE was carried out for a geometry-optimized La2CeTl structure.

N(E_F), states/eV per cell: 8.001
Calculated formation energy, meV/atom: -51
ΔE to the lowest computed polymorph, eV/atom: 0.131
Total magnetic moment, μB per formula unit: 0.95

Lattice parameters (Å, degrees): 3.666 3.666 11.446 80.78 80.78 60.00
Element x y z (fractional)
La: 0.082 0.082 0.755
La: 0.252 0.252 0.245
Ce: 0.499 0.499 0.502
Tl: 0.667 0.667 0.999